# 1
An optimized crystal structure of YMo2Ru, computed with PBE.

Computed properties:
* raw total energy: -35.520 eV/cell
* space group: No. 47
* energy of formation: 0.47 eV per atom
* ΔE to the lowest computed polymorph: 355.7 meV/atom
* volume: 73.3 Å³/cell

Cell: 2.9613 4.3712 5.6628 Å, 90.00 90.00 90.00°
With the nearest neighbours (Å) after each atom.
Atoms (fractional coordinates):
Y1 0.0000 0.0000 0.0000  2 Ru 2.83, 2 Y 2.96, 8 Mo 3.12
Mo1 0.5000 0.5000 0.2928  1 Mo 2.35
Mo2 0.5000 0.5000 0.7072  1 Mo 2.35
Ru1 0.0000 0.0000 0.5000  2 Y 2.83, 8 Mo 2.89, 2 Ru 2.96

=====

# 2
An optimized crystal structure of YMo2Ru, computed with PBE.

Computed properties:
* raw total energy: -35.986 eV/cell
* space group: No. 123
* energy of formation: 0.35 eV per atom
* ΔE to the lowest computed polymorph: 239.0 meV/atom
* volume: 72.0 Å³/cell

Cell: 2.9154 2.9154 8.4692 Å, 90.00 90.00 90.00°
With the nearest neighbours (Å) after each atom.
Atoms (fractional coordinates):
Y1 0.0000 0.0000 0.0000  4 Y 2.92, 8 Mo 3.21
Mo1 0.5000 0.5000 0.2912  4 Ru 2.72, 4 Mo 2.92
Mo2 0.5000 0.5000 0.7088  4 Ru 2.72, 4 Mo 2.92
Ru1 0.0000 0.0000 0.5000  8 Mo 2.72, 4 Ru 2.92

=====

# 3
An optimized crystal structure of Y2MoRu, computed with PBE.

Computed properties:
* raw total energy: -63.350 eV/cell
* space group: No. 119
* energy of formation: 0.34 eV per atom
* ΔE to the lowest computed polymorph: 311.1 meV/atom
* volume: 166.8 Å³/cell

Cell: 4.0416 4.0416 10.2082 Å, 90.00 90.00 90.00°
With the nearest neighbours (Å) after each atom.
Atoms (fractional coordinates):
Y1 0.0000 0.0000 0.0000  4 Ru 2.86
Y2 0.0000 0.5000 0.2500  4 Mo 2.86
Y3 0.5000 0.0000 0.7500  4 Mo 2.86
Y4 0.5000 0.5000 0.5000  4 Ru 2.86
Mo1 0.0000 0.5000 0.7500  4 Y 2.86
Mo2 0.5000 0.0000 0.2500  4 Y 2.86
Ru1 0.0000 0.0000 0.5000  4 Y 2.86
Ru2 0.5000 0.5000 0.0000  4 Y 2.86

=====

# 4
An optimized crystal structure of Y2MoRu, computed with PBE.

Computed properties:
* raw total energy: -31.678 eV/cell
* space group: No. 47
* energy of formation: 0.34 eV per atom
* ΔE to the lowest computed polymorph: 310.4 meV/atom
* volume: 81.8 Å³/cell

Cell: 3.4903 4.5193 5.1829 Å, 90.00 90.00 90.00°
With the nearest neighbours (Å) after each atom.
Atoms (fractional coordinates):
Y1 0.0000 0.0000 0.0000  4 Ru 2.86, 4 Y 3.12
Y2 0.5000 0.0000 0.5000  4 Mo 2.86, 4 Y 3.12
Mo1 0.0000 0.5000 0.5000  4 Y 2.86, 4 Ru 3.12
Ru1 0.5000 0.5000 0.0000  4 Y 2.86, 4 Mo 3.12

=====

# 5
An optimized crystal structure of YMoRu2, computed with PBE.

Computed properties:
* raw total energy: -35.184 eV/cell
* space group: No. 10
* energy of formation: 0.17 eV per atom
* ΔE to the lowest computed polymorph: 210.4 meV/atom
* volume: 70.5 Å³/cell

Cell: 2.9596 4.2012 5.8159 Å, 90.00 102.97 90.00°
With the nearest neighbours (Å) after each atom.
Atoms (fractional coordinates):
Y1 0.0000 0.0000 0.0000  2 Mo 2.95, 8 Ru 2.95-3.16, 2 Y 2.96
Mo1 0.5000 0.0000 0.5000  4 Ru 2.56
Ru1 0.3009 0.5000 0.7102  2 Mo 2.56, 1 Ru 2.68
Ru2 0.6991 0.5000 0.2898  2 Mo 2.56, 1 Ru 2.68

=====

# 6
An optimized crystal structure of YMoRu2, computed with PBE.

Computed properties:
* raw total energy: -138.344 eV/cell
* space group: No. 216
* energy of formation: 0.32 eV per atom
* ΔE to the lowest computed polymorph: 359.9 meV/atom
* volume: 271.5 Å³/cell

Cell: 6.4749 6.4749 6.4749 Å, 90.00 90.00 90.00°
With the nearest neighbours (Å) after each atom.
Atoms (fractional coordinates):
Y1 0.0000 0.0000 0.0000  4 Mo 2.80, 4 Ru 2.80
Y2 0.0000 0.5000 0.5000  4 Mo 2.80, 4 Ru 2.80
Y3 0.5000 0.0000 0.5000  4 Mo 2.80, 4 Ru 2.80
Y4 0.5000 0.5000 0.0000  4 Mo 2.80, 4 Ru 2.80
Mo1 0.2500 0.2500 0.7500  4 Ru 2.80, 4 Y 2.80
Mo2 0.2500 0.7500 0.2500  4 Ru 2.80, 4 Y 2.80
Mo3 0.7500 0.2500 0.2500  4 Ru 2.80, 4 Y 2.80
Mo4 0.7500 0.7500 0.7500  4 Ru 2.80, 4 Y 2.80
Ru1 0.0000 0.0000 0.5000  4 Mo 2.80, 4 Ru 2.80
Ru2 0.0000 0.5000 0.0000  4 Mo 2.80, 4 Ru 2.80
Ru3 0.2500 0.2500 0.2500  4 Ru 2.80, 4 Y 2.80
Ru4 0.2500 0.7500 0.7500  4 Ru 2.80, 4 Y 2.80
Ru5 0.5000 0.0000 0.0000  4 Mo 2.80, 4 Ru 2.80
Ru6 0.5000 0.5000 0.5000  4 Mo 2.80, 4 Ru 2.80
Ru7 0.7500 0.2500 0.7500  4 Ru 2.80, 4 Y 2.80
Ru8 0.7500 0.7500 0.2500  4 Ru 2.80, 4 Y 2.80

=====

# 7
An optimized crystal structure of YMoRu2, computed with PBE.

Computed properties:
* raw total energy: -35.546 eV/cell
* space group: No. 123
* energy of formation: 0.08 eV per atom
* ΔE to the lowest computed polymorph: 119.9 meV/atom
* volume: 68.3 Å³/cell

Cell: 4.6581 4.6581 3.1462 Å, 90.00 90.00 90.00°
With the nearest neighbours (Å) after each atom.
Atoms (fractional coordinates):
Y1 0.0000 0.0000 0.0000  8 Ru 2.81, 2 Y 3.15
Mo1 0.5000 0.5000 0.0000  8 Ru 2.81, 2 Mo 3.15
Ru1 0.0000 0.5000 0.5000  4 Mo 2.81, 4 Y 2.81, 2 Ru 3.15
Ru2 0.5000 0.0000 0.5000  4 Mo 2.81, 4 Y 2.81, 2 Ru 3.15

=====

# 8
An optimized crystal structure of YMo2Ru, computed with PBE.

Computed properties:
* raw total energy: -36.164 eV/cell
* space group: No. 10
* energy of formation: 0.31 eV per atom
* ΔE to the lowest computed polymorph: 194.8 meV/atom
* volume: 70.1 Å³/cell

Cell: 2.9287 4.6581 5.2611 Å, 90.00 102.25 90.00°
With the nearest neighbours (Å) after each atom.
Atoms (fractional coordinates):
Y1 0.0000 0.0000 0.0000  2 Ru 2.73, 4 Mo 2.88, 2 Y 2.93
Mo1 0.2647 0.5000 0.7444  4 Mo 2.71-2.93, 2 Ru 2.82, 2 Y 2.88
Mo2 0.7353 0.5000 0.2556  4 Mo 2.71-2.93, 2 Ru 2.82, 2 Y 2.88
Ru1 0.5000 0.0000 0.5000  2 Y 2.73, 4 Mo 2.82, 2 Ru 2.93

=====

# 9
An optimized crystal structure of Y2MoRu, computed with PBE.

Computed properties:
* raw total energy: -121.891 eV/cell
* space group: No. 122
* energy of formation: 0.64 eV per atom
* ΔE to the lowest computed polymorph: 611.6 meV/atom
* volume: 351.6 Å³/cell

Cell: 7.6976 7.6976 5.9336 Å, 90.00 90.00 90.00°
With the nearest neighbours (Å) after each atom.
Atoms (fractional coordinates):
Y1 0.2237 0.2500 0.1250  2 Ru 2.69, 2 Mo 2.96, 2 Y 2.99
Y2 0.2500 0.7237 0.3750  2 Ru 2.69, 2 Mo 2.96, 2 Y 2.99
Y3 0.2500 0.7763 0.8750  2 Ru 2.69, 2 Mo 2.96, 2 Y 2.99
Y4 0.2763 0.2500 0.6250  2 Ru 2.69, 2 Mo 2.96, 2 Y 2.99
Y5 0.7237 0.7500 0.6250  2 Ru 2.69, 2 Mo 2.96, 2 Y 2.99
Y6 0.7500 0.2237 0.8750  2 Ru 2.69, 2 Mo 2.96, 2 Y 2.99
Y7 0.7500 0.2763 0.3750  2 Ru 2.69, 2 Mo 2.96, 2 Y 2.99
Y8 0.7763 0.7500 0.1250  2 Ru 2.69, 2 Mo 2.96, 2 Y 2.99
Mo1 0.0000 0.0000 0.5000  4 Y 2.96, 2 Ru 2.97
Mo2 0.0000 0.5000 0.7500  4 Y 2.96, 2 Ru 2.97
Mo3 0.5000 0.0000 0.2500  4 Y 2.96, 2 Ru 2.97
Mo4 0.5000 0.5000 0.0000  4 Y 2.96, 2 Ru 2.97
Ru1 0.0000 0.0000 0.0000  4 Y 2.69, 2 Mo 2.97
Ru2 0.0000 0.5000 0.2500  4 Y 2.69, 2 Mo 2.97
Ru3 0.5000 0.0000 0.7500  4 Y 2.69, 2 Mo 2.97
Ru4 0.5000 0.5000 0.5000  4 Y 2.69, 2 Mo 2.97

=====

# 10
An optimized crystal structure of Y2MoRu, computed with PBE.

Computed properties:
* raw total energy: -63.286 eV/cell
* space group: No. 12
* energy of formation: 0.35 eV per atom
* ΔE to the lowest computed polymorph: 319.1 meV/atom
* volume: 164.5 Å³/cell

Cell: 6.2453 8.9009 3.1667 Å, 90.00 110.86 90.00°
With the nearest neighbours (Å) after each atom.
Atoms (fractional coordinates):
Y1 0.2500 0.2500 0.0000  2 Mo 2.85, 2 Ru 2.85, 4 Y 3.12-3.17
Y2 0.2500 0.7500 0.0000  2 Ru 2.85, 2 Mo 2.85, 4 Y 3.12-3.17
Y3 0.7500 0.2500 0.0000  2 Mo 2.85, 2 Ru 2.85, 4 Y 3.12-3.17
Y4 0.7500 0.7500 0.0000  2 Mo 2.85, 2 Ru 2.85, 4 Y 3.12-3.17
Mo1 0.0000 0.0000 0.5000  4 Y 2.85, 2 Ru 3.12, 2 Mo 3.17
Mo2 0.5000 0.5000 0.5000  4 Y 2.85, 2 Ru 3.12, 2 Mo 3.17
Ru1 0.0000 0.5000 0.5000  4 Y 2.85, 2 Mo 3.12, 2 Ru 3.17
Ru2 0.5000 0.0000 0.5000  4 Y 2.85, 2 Mo 3.12, 2 Ru 3.17

=====

# 11
An optimized crystal structure of Y2MoRu, computed with PBE.

Computed properties:
* raw total energy: -32.919 eV/cell
* space group: No. 99
* energy of formation: 0.03 eV per atom
* ΔE to the lowest computed polymorph: 0.0 meV/atom
* volume: 89.8 Å³/cell

Cell: 3.1895 3.1895 8.8230 Å, 90.00 90.00 90.00°
With the nearest neighbours (Å) after each atom.
Atoms (fractional coordinates):
Y1 0.0000 0.0000 0.0000  4 Ru 3.03, 4 Y 3.19, 1 Mo 3.39
Y2 0.5000 0.5000 0.3721  4 Mo 3.12, 4 Y 3.19
Mo1 0.0000 0.0000 0.6160  4 Ru 2.64
Ru1 0.5000 0.5000 0.7709  4 Mo 2.64

=====

# 12
An optimized crystal structure of YMoRu2, computed with PBE.

Computed properties:
* raw total energy: -34.461 eV/cell
* space group: No. 10
* energy of formation: 0.35 eV per atom
* ΔE to the lowest computed polymorph: 391.2 meV/atom
* volume: 69.4 Å³/cell

Cell: 4.8596 2.9518 5.3451 Å, 90.00 115.15 90.00°
With the nearest neighbours (Å) after each atom.
Atoms (fractional coordinates):
Y1 0.0000 0.0000 0.0000  6 Ru 2.67-2.84, 2 Y 2.95
Mo1 0.5000 0.5000 0.5000  6 Ru 2.67-2.84, 2 Mo 2.95
Ru1 0.0000 0.0000 0.5000  2 Y 2.67, 4 Mo 2.84, 2 Ru 2.95
Ru2 0.5000 0.5000 0.0000  2 Mo 2.67, 4 Y 2.84, 2 Ru 2.95